VASP calculation (PBE) on a geometry-optimized ScCu2Br6 structure.

Output
Spin magnetization, μB per formula unit: 0.4
Raw formation energy, kJ/mol of formula units: -782
Crystal system: monoclinic
Density of states at the Fermi level, states/eV/cell: 28.49
Energy above the lowest structure with this stoichiometry, meV per atom: 0

```
data_ScCu2Br6
_chemical_formula_sum 'Sc4 Cu8 Br24'
_cell_length_a 14.800
_cell_length_b 12.590
_cell_length_c 6.809
_cell_angle_alpha 90.00
_cell_angle_beta 111.24
_cell_angle_gamma 90.00
_space_group_name_H-M_alt 'C 1 2/c 1'
_space_group_IT_number 15
_space_group_name_Hall '-C 2yc'
loop_
_atom_site_label
_atom_site_fract_x
_atom_site_fract_y
_atom_site_fract_z
Sc1 0.000 0.081 0.250
Cu1 0.068 0.405 0.157
Br1 0.112 0.066 0.656
Br2 0.112 0.429 0.543
Br3 0.114 0.224 0.167
```